No. 1
Below is an optimized crystal structure of In2Bi2F, with properties calculated at the GGA-PBE level.

Geometry as POSCAR:
```
In2Bi2F
1.0
4.334 0.000 0.000
0.000 4.334 0.000
0.000 0.000 15.361
In Bi F
4 4 2
direct
0.000 0.500 0.250
0.000 0.500 0.750
0.500 0.000 0.250
0.500 0.000 0.750
0.000 0.000 0.107
0.000 0.000 0.893
0.500 0.500 0.393
0.500 0.500 0.607
0.000 0.000 0.500
0.500 0.500 0.000
```

Output
Relative energy among the computed polymorphs ... 80.9 meV per atom
N(E_F) ... 3.06 states/eV per cell

***

No. 2
Below is an optimized crystal structure of In2BiF, with properties calculated at the GGA-PBE level.

Geometry as POSCAR:
```
In2BiF
1.0
5.512 0.000 0.000
0.000 5.512 0.000
0.000 0.000 15.245
In Bi F
8 4 4
direct
0.149 0.250 0.125
0.250 0.649 0.375
0.250 0.851 0.875
0.351 0.250 0.625
0.649 0.750 0.625
0.750 0.149 0.875
0.750 0.351 0.375
0.851 0.750 0.125
0.000 0.000 0.500
0.000 0.500 0.750
0.500 0.000 0.250
0.500 0.500 0.000
0.000 0.000 0.000
0.000 0.500 0.250
0.500 0.000 0.750
0.500 0.500 0.500
```

Output
Relative energy among the computed polymorphs ... 86.7 meV per atom
N(E_F) ... 2.35 states/eV per cell

***

> Which value of relative energy among the computed polymorphs does entry 1 give?

80.9 meV per atom

***

> Which formula does entry 1 have?

In2Bi2F

***

> What is the relative energy among the computed polymorphs in the first record?

80.9 meV per atom